Material: GeBiIr
Method: DFT, PBE
State: optimized geometry

Properties
Calculated volume ... 261 Å³/cell
Total energy ... -0.21359 Ha/atom
E above lowest polymorph ... 0 meV per atom

a = 6.391 Å, b = 6.391 Å, c = 6.391 Å
α = 90.00°, β = 90.00°, γ = 90.00°
Space group F-43m (No. 216)
One atom of each set of equivalent atoms:
1 Ge 0.000 0.000 0.000 [4 per cell]
2 Bi 0.000 0.000 0.500 [4 per cell]
3 Ir 0.250 0.250 0.750 [4 per cell]